{
  "formula": "AcGa2WO8",
  "functional": "GGA+U",
  "state": "relaxed",
  "sg": "No. 12",
  "dft_energy_ev_per_cell": -81.36,
  "cell": [[-0.6954, -0.7226, -4.5806], [-4.3816, -1.4944, 0.7296], [-2.1461, 6.9317, -0.4745]],
  "species": ["Ac", "Ga", "Ga", "W", "O", "O", "O", "O", "O", "O", "O", "O"],
  "frac_coords": [[0.0000, 0.0000, 0.5000], [0.4703, 0.4704, 0.8045], [0.5297, 0.5296, 0.1955], [0.0000, 0.0000, 0.0000], [0.2019, 0.8021, 0.1971], [0.7038, 0.7036, 0.9901], [0.8021, 0.2016, 0.1968], [0.7981, 0.1979, 0.8029], [0.2962, 0.2964, 0.0099], [0.1979, 0.7984, 0.8032], [0.6450, 0.6436, 0.4384], [0.3550, 0.3564, 0.5616]]
}